<w>
DFT (PBE) results for a geometry-optimized RbFe3Re structure.

The space group is Pm-3m (No. 221) and the conventional cell measures 4.779, 4.779 and 4.779 Å, with angles of 90.00, 90.00 and 90.00 degrees. The distinct sites, in fractional coordinates, are Rb at (0.000, 0.000, 0.000), Fe at (0.000, 0.500, 0.500) and Re at (0.500, 0.500, 0.500).

***

<x>
DFT (PBE) results for a geometry-optimized RbFe3Re structure.

The space group is Pm-3m (No. 221) and the conventional cell measures 4.282, 4.282 and 4.282 Å, with angles of 90.00, 90.00 and 90.00 degrees. The distinct sites, in fractional coordinates, are Rb at (0.000, 0.000, 0.000), Fe at (0.000, 0.000, 0.500) and Re at (0.500, 0.500, 0.500).

***

<w> is preferred energetically. Next in line: 1922 meV/atom higher.

***

<w>
DFT (PBE) results for a geometry-optimized Rb2FeRe structure.

The space group is I-42d (No. 122) and the conventional cell measures 13.130, 13.130 and 4.471 Å, with angles of 90.00, 90.00 and 90.00 degrees. The distinct sites, in fractional coordinates, are Rb at (0.057, 0.750, 0.125), Fe at (0.000, 0.000, 0.000) and Re at (0.000, 0.000, 0.500).

***

<x>
DFT (PBE) results for a geometry-optimized Rb2FeRe structure.

The space group is Fm-3m (No. 225) and the conventional cell measures 8.297, 8.297 and 8.297 Å, with angles of 90.00, 90.00 and 90.00 degrees. The distinct sites, in fractional coordinates, are Rb at (0.250, 0.250, 0.250), Fe at (0.000, 0.000, 0.000) and Re at (0.000, 0.000, 0.500).

***

<w> is preferred energetically. Next in line: 668 meV/atom higher.

***

<w>
DFT (PBE) results for a geometry-optimized RbFe2Rh structure.

The space group is Fm-3m (No. 225) and the conventional cell measures 6.553, 6.553 and 6.553 Å, with angles of 90.00, 90.00 and 90.00 degrees. The distinct sites, in fractional coordinates, are Rb at (0.000, 0.000, 0.000), Fe at (0.250, 0.250, 0.250) and Rh at (0.000, 0.000, 0.500).

***

<x>
DFT (PBE) results for a geometry-optimized RbFe2Rh structure.

The space group is I4_1/amd (No. 141, origin choice 2) and the conventional cell measures 5.067, 5.067 and 16.675 Å, with angles of 90.00, 90.00 and 90.00 degrees. The distinct sites, in fractional coordinates, are Rb at (0.000, 0.250, 0.375), Fe at (0.000, 0.000, 0.000) and Rh at (0.000, 0.250, 0.875).

***

<x> is preferred energetically. Next in line: 267 meV/atom higher.

***

<w>
DFT (PBE) results for a geometry-optimized RbFeRu2 structure.

The space group is Fm-3m (No. 225) and the conventional cell measures 6.386, 6.386 and 6.386 Å, with angles of 90.00, 90.00 and 90.00 degrees. The distinct sites, in fractional coordinates, are Rb at (0.000, 0.000, 0.000), Fe at (0.000, 0.000, 0.500) and Ru at (0.250, 0.250, 0.250).

***

<x>
DFT (PBE) results for a geometry-optimized RbFeRu2 structure.

The space group is I4_1/amd (No. 141, origin choice 2) and the conventional cell measures 4.895, 4.895 and 17.104 Å, with angles of 90.00, 90.00 and 90.00 degrees. The distinct sites, in fractional coordinates, are Rb at (0.000, 0.250, 0.375), Fe at (0.000, 0.250, 0.875) and Ru at (0.000, 0.000, 0.000).

***

<x> is preferred energetically. Next in line: 447 meV/atom higher.

***

<w>
DFT (PBE) results for a geometry-optimized RbFe2Ru2 structure.

The space group is P4/mbm (No. 127) and the conventional cell measures 7.820, 7.820 and 2.657 Å, with angles of 90.00, 90.00 and 90.00 degrees. The distinct sites, in fractional coordinates, are Rb at (0.000, 0.000, 0.000), Fe at (0.154, 0.346, 0.500) and Ru at (0.117, 0.617, 0.000).

***

<x>
DFT (PBE) results for a geometry-optimized RbFe2Ru2 structure.

The space group is I4/mmm (No. 139) and the conventional cell measures 4.191, 4.191 and 10.624 Å, with angles of 90.00, 90.00 and 90.00 degrees. The distinct sites, in fractional coordinates, are Rb at (0.000, 0.000, 0.000), Fe at (0.000, 0.500, 0.250) and Ru at (0.000, 0.000, 0.376).

***

<x> is preferred energetically. Next in line: 11 meV/atom higher.

***

<w>
DFT (PBE) results for a geometry-optimized RbFeTeS structure.

The space group is Cm (No. 8) and the conventional cell measures 8.146, 3.572 and 7.835 Å, with angles of 90.00, 101.28 and 90.00 degrees. The distinct sites, in fractional coordinates, are Rb at (0.000, 0.000, 0.000), Fe at (0.416, 0.500, 0.461), Te at (0.135, 0.500, 0.623) and S at (0.347, 0.000, 0.278).

***

<x>
DFT (PBE) results for a geometry-optimized RbFeTeS structure.

The space group is P1 (No. 1) and the conventional cell measures 3.592, 4.444 and 7.828 Å, with angles of 102.17, 90.05 and 113.75 degrees. The distinct sites, in fractional coordinates, are Rb at (0.000, 0.000, 0.000), Fe at (0.862, 0.719, 0.455), Te at (0.212, 0.420, 0.618) and S at (0.363, 0.723, 0.274).

***

<x> is preferred energetically. Next in line: 5 meV/atom higher.

***

<w>
DFT (PBE) results for a geometry-optimized RbFeSb2 structure.

The space group is I4_1/amd (No. 141, origin choice 2) and the conventional cell measures 6.403, 6.403 and 14.414 Å, with angles of 90.00, 90.00 and 90.00 degrees. The distinct sites, in fractional coordinates, are Rb at (0.000, 0.250, 0.375), Fe at (0.000, 0.250, 0.875) and Sb at (0.000, 0.000, 0.000).

***

<x>
DFT (PBE) results for a geometry-optimized RbFeSb2 structure.

The space group is Fm-3m (No. 225) and the conventional cell measures 7.245, 7.245 and 7.245 Å, with angles of 90.00, 90.00 and 90.00 degrees. The distinct sites, in fractional coordinates, are Rb at (0.000, 0.000, 0.000), Fe at (0.000, 0.000, 0.500) and Sb at (0.250, 0.250, 0.250).

***

<w> is preferred energetically. Next in line: 694 meV/atom higher.

***

<w>
DFT (PBE) results for a geometry-optimized RbFeSbTe2 structure.

The space group is P4/mmm (No. 123) and the conventional cell measures 5.820, 5.820 and 6.696 Å, with angles of 90.00, 90.00 and 90.00 degrees. The distinct sites, in fractional coordinates, are Rb at (0.000, 0.000, 0.000), Fe at (0.500, 0.500, 0.000), Sb at (0.000, 0.000, 0.500) and Te at (0.000, 0.500, 0.500).

***

<x>
DFT (PBE) results for a geometry-optimized RbFeSbTe2 structure.

The space group is P4/mmm (No. 123) and the conventional cell measures 5.503, 5.503 and 5.058 Å, with angles of 90.00, 90.00 and 90.00 degrees. The distinct sites, in fractional coordinates, are Rb at (0.000, 0.000, 0.000), Fe at (0.500, 0.500, 0.500), Sb at (0.500, 0.500, 0.000) and Te at (0.000, 0.500, 0.500).

***

<x> is preferred energetically. Next in line: 858 meV/atom higher.

***

<w>
DFT (PBE) results for a geometry-optimized RbSc2Fe structure.

The space group is Fd-3m (No. 227, origin choice 2) and the conventional cell measures 10.495, 10.495 and 10.495 Å, with angles of 90.00, 90.00 and 90.00 degrees. The distinct sites, in fractional coordinates, are Rb at (0.125, 0.125, 0.125), Sc at (0.000, 0.000, 0.500) and Fe at (0.125, 0.125, 0.625).

***

<x>
DFT (PBE) results for a geometry-optimized RbSc2Fe structure.

The space group is Fm-3m (No. 225) and the conventional cell measures 7.047, 7.047 and 7.047 Å, with angles of 90.00, 90.00 and 90.00 degrees. The distinct sites, in fractional coordinates, are Rb at (0.000, 0.000, 0.000), Sc at (0.250, 0.250, 0.250) and Fe at (0.000, 0.000, 0.500).

***

<y>
DFT (PBE) results for a geometry-optimized RbSc2Fe structure.

The space group is R-3m (No. 166, hexagonal axes) and the conventional cell measures 3.7010, 3.7010 and 30.6749 Å, with angles of 90.00, 90.00 and 120.00 degrees. The distinct sites, in fractional coordinates, are Rb at (0.0000, 0.0000, 0.0000), Sc at (0.0000, 0.0000, 0.1234) and Fe at (0.0000, 0.0000, 0.5000).

***

<y> is preferred energetically. Next in line: 226 meV/atom higher.

***

<w>
DFT (PBE) results for a geometry-optimized RbScFe2 structure.

The space group is I-42d (No. 122) and the conventional cell measures 4.651, 4.651 and 17.901 Å, with angles of 90.00, 90.00 and 90.00 degrees. The distinct sites, in fractional coordinates, are Rb at (0.000, 0.000, 0.000), Sc at (0.000, 0.000, 0.500) and Fe at (0.009, 0.750, 0.625).

***

<x>
DFT (PBE) results for a geometry-optimized RbScFe2 structure.

The space group is Fm-3m (No. 225) and the conventional cell measures 7.053, 7.053 and 7.053 Å, with angles of 90.00, 90.00 and 90.00 degrees. The distinct sites, in fractional coordinates, are Rb at (0.000, 0.000, 0.000), Sc at (0.000, 0.000, 0.500) and Fe at (0.250, 0.250, 0.250).

***

<x> is preferred energetically. Next in line: 112 meV/atom higher.

***

<w>
DFT (PBE) results for a geometry-optimized RbFeSe3 structure.

The space group is Pm-3m (No. 221) and the conventional cell measures 4.896, 4.896 and 4.896 Å, with angles of 90.00, 90.00 and 90.00 degrees. The distinct sites, in fractional coordinates, are Rb at (0.000, 0.000, 0.000), Fe at (0.500, 0.500, 0.500) and Se at (0.000, 0.500, 0.500).

***

<x>
DFT (PBE) results for a geometry-optimized RbFeSe3 structure.

The space group is Pm-3m (No. 221) and the conventional cell measures 6.031, 6.031 and 6.031 Å, with angles of 90.00, 90.00 and 90.00 degrees. The distinct sites, in fractional coordinates, are Rb at (0.000, 0.000, 0.000), Fe at (0.500, 0.500, 0.500) and Se at (0.000, 0.000, 0.500).

***

<w> is preferred energetically. Next in line: 2016 meV/atom higher.

***

<w>
DFT (PBE) results for a geometry-optimized RbFeSi3 structure.

The space group is Pm-3m (No. 221) and the conventional cell measures 5.271, 5.271 and 5.271 Å, with angles of 90.00, 90.00 and 90.00 degrees. The distinct sites, in fractional coordinates, are Rb at (0.000, 0.000, 0.000), Fe at (0.500, 0.500, 0.500) and Si at (0.000, 0.000, 0.500).

***

<x>
DFT (PBE) results for a geometry-optimized RbFeSi3 structure.

The space group is Pm-3m (No. 221) and the conventional cell measures 4.607, 4.607 and 4.607 Å, with angles of 90.00, 90.00 and 90.00 degrees. The distinct sites, in fractional coordinates, are Rb at (0.000, 0.000, 0.000), Fe at (0.500, 0.500, 0.500) and Si at (0.000, 0.500, 0.500).

***

<x> is preferred energetically. Next in line: 2624 meV/atom higher.

***

<w>
DFT (PBE) results for a geometry-optimized RbFeSn2 structure.

The space group is I4_1/amd (No. 141, origin choice 2) and the conventional cell measures 6.779, 6.779 and 13.437 Å, with angles of 90.00, 90.00 and 90.00 degrees. The distinct sites, in fractional coordinates, are Rb at (0.000, 0.250, 0.375), Fe at (0.000, 0.250, 0.875) and Sn at (0.000, 0.000, 0.000).

***

<x>
DFT (PBE) results for a geometry-optimized RbFeSn2 structure.

The space group is Fm-3m (No. 225) and the conventional cell measures 7.496, 7.496 and 7.496 Å, with angles of 90.00, 90.00 and 90.00 degrees. The distinct sites, in fractional coordinates, are Rb at (0.000, 0.000, 0.000), Fe at (0.000, 0.000, 0.500) and Sn at (0.250, 0.250, 0.250).

***

<w> is preferred energetically. Next in line: 422 meV/atom higher.